# SrMn2Se

A geometry-optimized SrMn2Se structure (PBE-GGA, the Alexandria database).

Cell and atoms, written as POSCAR:
```
SrMn2Se
1.0
-1.954 2.636 4.579
1.954 -2.636 4.579
1.954 2.636 -4.579
Sr Mn Se
1 2 1
Direct
0.000 0.000 0.000
0.297 0.797 0.500
0.562 0.562 0.000
0.731 0.231 0.500
```

Summary:
uncorrected formation energy: 0.187 eV per atom

# SnTeN2F

A geometry-optimized SnTeN2F structure (PBE-GGA, the Alexandria database).

Cell and atoms, written as POSCAR:
```
SnTeN2F
1.0
4.756 0.000 0.000
0.000 4.756 0.000
0.000 0.000 4.248
Sn Te N F
1 1 2 1
Direct
0.000 0.000 0.000
0.500 0.500 0.000
0.000 0.500 0.500
0.500 0.000 0.500
0.500 0.500 0.500
```

Summary:
uncorrected formation energy: 1.557 eV per atom
excess energy over the best structure of this formula in the dataset: 1100 meV per atom

# Li3LaGa3

A geometry-optimized Li3LaGa3 structure (PBE-GGA, the Alexandria database).

Cell and atoms, written as POSCAR:
```
Li3LaGa3
1.0
6.727 0.000 0.000
0.000 6.727 0.000
0.000 0.000 6.727
Li La Ga
6 2 6
Direct
0.000 0.250 0.500
0.000 0.750 0.500
0.250 0.500 0.000
0.500 0.000 0.250
0.500 0.000 0.750
0.750 0.500 0.000
0.000 0.000 0.000
0.500 0.500 0.500
0.000 0.500 0.250
0.000 0.500 0.750
0.250 0.000 0.500
0.500 0.250 0.000
0.500 0.750 0.000
0.750 0.000 0.500
```

Summary:
energy of formation from the pure elements: 0.044 eV per atom
excess energy over the best structure of this formula in the dataset: 374 meV per atom

# HfTlInF6

A geometry-optimized HfTlInF6 structure (PBE-GGA, the Alexandria database).

Cell and atoms, written as POSCAR:
```
HfTlInF6
1.0
5.662 0.000 0.000
0.000 5.662 0.000
0.000 0.000 12.261
Hf Tl In F
2 2 2 12
Direct
0.000 0.000 0.000
0.500 0.500 0.500
0.000 0.000 0.668
0.500 0.500 0.168
0.000 0.000 0.346
0.500 0.500 0.846
0.173 0.173 0.118
0.174 0.174 0.880
0.247 0.247 0.497
0.253 0.747 0.997
0.326 0.674 0.380
0.327 0.673 0.618
0.673 0.327 0.618
0.674 0.326 0.380
0.747 0.253 0.997
0.753 0.753 0.497
0.826 0.826 0.880
0.827 0.827 0.118
```

Summary:
uncorrected formation energy: -2.954 eV per atom

# Pm6Te2C3

A geometry-optimized Pm6Te2C3 structure (PBE-GGA, the Alexandria database).

Cell and atoms, written as POSCAR:
```
Pm6Te2C3
1.0
3.325 -5.769 0.000
3.325 5.769 0.000
-2.250 0.000 7.445
Pm Te C
6 2 3
Direct
0.055 0.396 0.186
0.265 0.265 0.821
0.396 0.055 0.186
0.604 0.945 0.814
0.735 0.735 0.179
0.945 0.604 0.814
0.165 0.835 0.500
0.835 0.165 0.500
0.000 0.000 0.000
0.328 0.672 0.000
0.672 0.328 0.000
```

Summary:
uncorrected formation energy: -0.636 eV per atom

# CuCl3

A geometry-optimized CuCl3 structure (PBE-GGA, the Alexandria database).

Cell and atoms, written as POSCAR:
```
CuCl3
1.0
3.880 2.240 1.594
-3.880 2.240 1.594
0.000 -4.480 1.594
Cu Cl
1 3
Direct
0.000 0.000 0.000
0.000 0.500 0.500
0.500 0.000 0.500
0.500 0.500 0.000
```

Summary:
uncorrected formation energy: 0.318 eV per atom

# PuFe2B2

A geometry-optimized PuFe2B2 structure (PBE-GGA, the Alexandria database).

Cell and atoms, written as POSCAR:
```
PuFe2B2
1.0
3.863 0.000 0.000
0.000 3.277 0.000
-0.705 0.000 9.066
Pu Fe B
2 4 4
Direct
0.205 0.250 0.250
0.795 0.750 0.750
0.248 0.750 0.493
0.350 0.250 0.906
0.650 0.750 0.094
0.752 0.250 0.507
0.133 0.750 0.013
0.274 0.250 0.632
0.726 0.750 0.368
0.867 0.250 0.987
```

Summary:
energy of formation from the pure elements: -0.226 eV per atom

# Ni2BiTe

A geometry-optimized Ni2BiTe structure (PBE-GGA, the Alexandria database).

Cell and atoms, written as POSCAR:
```
Ni2BiTe
1.0
8.199 0.000 0.000
0.000 7.094 0.000
0.000 0.000 5.271
Ni Bi Te
8 4 4
Direct
0.108 0.250 0.000
0.108 0.250 0.500
0.355 0.750 0.000
0.355 0.750 0.500
0.645 0.250 0.000
0.645 0.250 0.500
0.892 0.750 0.000
0.892 0.750 0.500
0.378 0.090 0.250
0.378 0.410 0.750
0.622 0.590 0.250
0.622 0.910 0.750
0.127 0.575 0.250
0.127 0.925 0.750
0.873 0.075 0.250
0.873 0.425 0.750
```

Summary:
uncorrected formation energy: -0.120 eV per atom

What total magnetization values result from the calculations? In sequence: 8.08; 4.81; 0.00; 0.00; 0.00; 1.06; 4.68; 0.00 Bohr magnetons per cell.